1.
The following is a DFT calculation (GGA-PBEsol) of crystalline RbMgZr3 at its relaxed geometry. Values from VASP.

- Energy relative to the elements: 1.813 eV/atom
- Calculated volume: 125.18 Å³ per cell
- Total energy: -4.189 eV per atom
- M_tot: 0.003 μB/cell
- D(E_F): 8.02 states/eV/f.u.

The structure in Quantum ESPRESSO input format:
```
&SYSTEM
  ibrav = 0, nat = 5, ntyp = 3
/
ATOMIC_SPECIES
Rb 85.47 Rb.upf
Mg 24.30 Mg.upf
Zr 91.22 Zr.upf
ATOMIC_POSITIONS angstrom
Rb 0.0000 0.0000 0.0000
Mg 2.5012 2.5012 2.5012
Zr 0.0000 0.0000 2.5012
Zr 0.0000 2.5012 0.0000
Zr 2.5012 0.0000 0.0000
CELL_PARAMETERS angstrom
5.0024 0.0000 0.0000
0.0000 5.0024 0.0000
0.0000 0.0000 5.0024
```

=====

2.
The following is a DFT calculation (GGA-PBEsol) of crystalline Mg3Re at its relaxed geometry. Values from VASP.

- Energy relative to the elements: 0.327 eV/atom
- Calculated volume: 69.59 Å³ per cell
- Distance to the lowest polymorph of the same formula: 18.9 meV/atom
- Total energy: -4.294 eV per atom
- M_tot: 0.000 μB/cell
- D(E_F): 1.72 states/eV/f.u.

The structure in Quantum ESPRESSO input format:
```
&SYSTEM
  ibrav = 0, nat = 4, ntyp = 2
/
ATOMIC_SPECIES
Mg 24.30 Mg.upf
Re 186.21 Re.upf
ATOMIC_POSITIONS angstrom
Mg 0.0000 0.0000 0.0000
Mg 1.4070 2.4595 -0.9252
Mg 0.0000 2.2880 1.6791
Re 0.0000 4.7475 0.0691
CELL_PARAMETERS angstrom
-1.4070 4.7475 2.6043
1.4070 -4.7475 2.6043
1.4070 4.7475 -2.6043
```

=====

3.
The following is a DFT calculation (GGA-PBEsol) of crystalline Mg2Re at its relaxed geometry. Values from VASP.

- Energy relative to the elements: 0.414 eV/atom
- Calculated volume: 49.61 Å³ per cell
- Distance to the lowest polymorph of the same formula: 18.6 meV/atom
- Total energy: -5.175 eV per atom
- M_tot: 0.000 μB/cell
- D(E_F): 2.09 states/eV/f.u.

The structure in Quantum ESPRESSO input format:
```
&SYSTEM
  ibrav = 0, nat = 3, ntyp = 2
/
ATOMIC_SPECIES
Mg 24.30 Mg.upf
Re 186.21 Re.upf
ATOMIC_POSITIONS angstrom
Mg 0.0000 0.0000 1.3803
Mg 0.0000 0.0000 7.0804
Re 0.0000 0.0000 4.2304
CELL_PARAMETERS angstrom
-1.3260 2.2112 4.2304
1.3260 -2.2112 4.2304
1.3260 2.2112 -4.2304
```

=====

4.
The following is a DFT calculation (GGA-PBEsol) of crystalline Mg3Re4 at its relaxed geometry. Values from VASP.

- Energy relative to the elements: 0.121 eV/atom
- Calculated volume: 113.35 Å³ per cell
- Total energy: -8.233 eV per atom
- M_tot: 0.000 μB/cell
- D(E_F): 1.92 states/eV/f.u.

The structure in Quantum ESPRESSO input format:
```
&SYSTEM
  ibrav = 0, nat = 7, ntyp = 2
/
ATOMIC_SPECIES
Mg 24.30 Mg.upf
Re 186.21 Re.upf
ATOMIC_POSITIONS angstrom
Mg 0.0000 0.0000 0.0000
Mg 0.0000 0.0000 7.1296
Mg 0.0000 0.0000 17.0472
Re 0.0000 0.0000 3.1429
Re 0.0000 0.0000 10.3170
Re 0.0000 0.0000 13.8598
Re 0.0000 0.0000 21.0339
CELL_PARAMETERS angstrom
-1.5311 1.5311 12.0884
1.5311 -1.5311 12.0884
1.5311 1.5311 -12.0884
```

=====

5.
The following is a DFT calculation (GGA-PBEsol) of crystalline Mg2Re at its relaxed geometry. Values from VASP.

- Energy relative to the elements: 0.396 eV/atom
- Calculated volume: 49.29 Å³ per cell
- Distance to the lowest polymorph of the same formula: 0.0 meV/atom
- Total energy: -5.193 eV per atom
- M_tot: 0.000 μB/cell
- D(E_F): 1.77 states/eV/f.u.

The structure in Quantum ESPRESSO input format:
```
&SYSTEM
  ibrav = 0, nat = 3, ntyp = 2
/
ATOMIC_SPECIES
Mg 24.30 Mg.upf
Re 186.21 Re.upf
ATOMIC_POSITIONS angstrom
Mg 0.0000 2.6843 0.9868
Mg 2.3247 1.3422 1.6462
Re 0.0000 0.0000 0.0000
CELL_PARAMETERS angstrom
4.6494 0.0000 0.0000
-2.3247 4.0265 0.0000
0.0000 0.0000 2.6329
```

=====

6.
The following is a DFT calculation (GGA-PBEsol) of crystalline Mg3Re at its relaxed geometry. Values from VASP.

- Energy relative to the elements: 0.456 eV/atom
- Calculated volume: 69.52 Å³ per cell
- Distance to the lowest polymorph of the same formula: 148.3 meV/atom
- Total energy: -4.165 eV per atom
- M_tot: 0.000 μB/cell
- D(E_F): 2.37 states/eV/f.u.

The structure in Quantum ESPRESSO input format:
```
&SYSTEM
  ibrav = 0, nat = 4, ntyp = 2
/
ATOMIC_SPECIES
Mg 24.30 Mg.upf
Re 186.21 Re.upf
ATOMIC_POSITIONS angstrom
Mg 0.0000 0.0000 0.0000
Mg 0.0000 2.4314 1.4700
Mg 2.4314 0.0000 1.4700
Re 2.4314 2.4314 0.0000
CELL_PARAMETERS angstrom
4.8627 0.0000 0.0000
0.0000 4.8627 0.0000
0.0000 0.0000 2.9400
```

=====

7.
The following is a DFT calculation (GGA-PBEsol) of crystalline Mg2Re at its relaxed geometry. Values from VASP.

- Energy relative to the elements: 0.414 eV/atom
- Calculated volume: 99.28 Å³ per cell
- Distance to the lowest polymorph of the same formula: 18.7 meV/atom
- Total energy: -5.174 eV per atom
- M_tot: 0.000 μB/cell
- D(E_F): 1.79 states/eV/f.u.

The structure in Quantum ESPRESSO input format:
```
&SYSTEM
  ibrav = 0, nat = 6, ntyp = 2
/
ATOMIC_SPECIES
Mg 24.30 Mg.upf
Re 186.21 Re.upf
ATOMIC_POSITIONS angstrom
Mg 1.3275 7.1212 3.5592
Mg 1.3275 3.4287 1.1864
Mg 1.3275 -3.4287 3.5592
Mg 1.3275 -7.1212 1.1864
Re 1.3275 1.8836 3.5592
Re 1.3275 -1.8836 1.1864
CELL_PARAMETERS angstrom
1.3275 -7.8799 0.0000
1.3275 7.8799 0.0000
0.0000 0.0000 4.7456
```

=====

8.
The following is a DFT calculation (GGA-PBEsol) of crystalline Mg3Re at its relaxed geometry. Values from VASP.

- Energy relative to the elements: 0.308 eV/atom
- Calculated volume: 71.82 Å³ per cell
- Distance to the lowest polymorph of the same formula: 0.0 meV/atom
- Total energy: -4.313 eV per atom
- M_tot: 0.000 μB/cell
- D(E_F): 2.83 states/eV/f.u.

The structure in Quantum ESPRESSO input format:
```
&SYSTEM
  ibrav = 0, nat = 4, ntyp = 2
/
ATOMIC_SPECIES
Mg 24.30 Mg.upf
Re 186.21 Re.upf
ATOMIC_POSITIONS angstrom
Mg 0.0000 0.0000 0.0000
Mg 1.4570 0.8412 2.6364
Mg 1.4570 0.8412 7.1305
Re 0.0000 0.0000 4.8834
CELL_PARAMETERS angstrom
2.9140 0.0000 0.0000
-1.4570 2.5236 0.0000
0.0000 0.0000 9.7668
```

=====

9.
The following is a DFT calculation (GGA-PBEsol) of crystalline MgRe2Rh at its relaxed geometry. Values from VASP.

- Energy relative to the elements: 0.134 eV/atom
- Calculated volume: 58.08 Å³ per cell
- Total energy: -8.996 eV per atom
- M_tot: 0.000 μB/cell
- D(E_F): 3.29 states/eV/f.u.

The structure in Quantum ESPRESSO input format:
```
&SYSTEM
  ibrav = 0, nat = 4, ntyp = 3
/
ATOMIC_SPECIES
Mg 24.30 Mg.upf
Re 186.21 Re.upf
Rh 102.91 Rh.upf
ATOMIC_POSITIONS angstrom
Mg 0.0000 0.0000 0.0000
Re 3.0737 3.0737 3.0737
Re 4.6105 4.6105 4.6105
Rh 1.5368 1.5368 1.5368
CELL_PARAMETERS angstrom
0.0000 3.0737 3.0737
3.0737 0.0000 3.0737
3.0737 3.0737 0.0000
```

=====

10.
The following is a DFT calculation (GGA-PBEsol) of crystalline MgReRh2 at its relaxed geometry. Values from VASP.

- Energy relative to the elements: -0.270 eV/atom
- Calculated volume: 57.56 Å³ per cell
- Total energy: -8.101 eV per atom
- M_tot: 0.000 μB/cell
- D(E_F): 2.19 states/eV/f.u.

The structure in Quantum ESPRESSO input format:
```
&SYSTEM
  ibrav = 0, nat = 4, ntyp = 3
/
ATOMIC_SPECIES
Mg 24.30 Mg.upf
Re 186.21 Re.upf
Rh 102.91 Rh.upf
ATOMIC_POSITIONS angstrom
Mg 0.0000 0.0000 0.0000
Re 0.0000 0.0000 3.6908
Rh 1.3963 1.3963 1.9264
Rh 1.3963 1.3963 5.4553
CELL_PARAMETERS angstrom
2.7925 0.0000 0.0000
0.0000 2.7925 0.0000
0.0000 0.0000 7.3817
```

=====

11.
The following is a DFT calculation (GGA-PBEsol) of crystalline MgRe2Rh at its relaxed geometry. Values from VASP.

- Energy relative to the elements: 0.206 eV/atom
- Calculated volume: 58.66 Å³ per cell
- Total energy: -8.924 eV per atom
- M_tot: 0.000 μB/cell
- D(E_F): 2.47 states/eV/f.u.

The structure in Quantum ESPRESSO input format:
```
&SYSTEM
  ibrav = 0, nat = 4, ntyp = 3
/
ATOMIC_SPECIES
Mg 24.30 Mg.upf
Re 186.21 Re.upf
Rh 102.91 Rh.upf
ATOMIC_POSITIONS angstrom
Mg 0.0000 0.0000 0.0000
Re 1.2671 2.1541 1.3431
Re 1.2671 -2.1541 1.3431
Rh 2.5342 0.0000 0.0000
CELL_PARAMETERS angstrom
2.5342 -4.3083 0.0000
2.5342 4.3083 0.0000
0.0000 0.0000 2.6862
```

=====

12.
The following is a DFT calculation (GGA-PBEsol) of crystalline MgReRu at its relaxed geometry. Values from VASP.

- Energy relative to the elements: 0.172 eV/atom
- Calculated volume: 45.53 Å³ per cell
- Distance to the lowest polymorph of the same formula: 0.0 meV/atom
- Total energy: -8.235 eV per atom
- M_tot: 0.000 μB/cell
- D(E_F): 2.32 states/eV/f.u.

The structure in Quantum ESPRESSO input format:
```
&SYSTEM
  ibrav = 0, nat = 3, ntyp = 3
/
ATOMIC_SPECIES
Mg 24.30 Mg.upf
Re 186.21 Re.upf
Ru 101.07 Ru.upf
ATOMIC_POSITIONS angstrom
Mg 0.0000 0.0000 0.0000
Re 1.3884 0.8016 4.3732
Ru 0.0000 1.6032 2.3580
CELL_PARAMETERS angstrom
2.7767 0.0000 0.0000
-1.3884 2.4047 0.0000
0.0000 0.0000 6.8193
```